(1)
Compound: Li5Ga2F12
Source: Alexandria
Functional: PBE
Structure: optimized geometry

Properties
As for the density of states at the Fermi level: 1.436 states/eV/f.u. Its energy is -87.510 eV per cell. As for the raw formation energy: -2.6016 eV/atom.

Unit cell a=5.8102 b=7.6833 c=5.7405 alpha=101.85 beta=120.40 gamma=90.00
Last column: magnetic moment on the atom in μB.
Element x y z (fractional)
1 Li 0.7000 0.3609 0.4000  0.00
2 Li 0.7005 0.7151 0.4010  0.00
3 Li 0.0000 0.5000 0.0000  0.00
4 Li 0.2995 0.2849 0.5990  0.00
5 Li 0.3000 0.6391 0.6000  0.00
6 Ga 0.2460 0.0000 0.0000  0.00
7 Ga 0.7540 0.0000 0.0000  0.00
8 F 0.0599 0.8638 0.1199  0.00
9 F 0.9181 0.1641 0.3413  0.00
10 F 0.4232 0.1641 0.3413  0.00
11 F 0.8780 0.5244 0.2683  0.23
12 F 0.3903 0.5244 0.2683  0.23
13 F 0.4405 0.1364 0.8810  0.00
14 F 0.5595 0.8636 0.1190  0.00
15 F 0.1220 0.4756 0.7317  0.23
16 F 0.6097 0.4756 0.7317  0.23
17 F 0.0819 0.8359 0.6587  0.00
18 F 0.5768 0.8359 0.6587  0.00
19 F 0.9401 0.1362 0.8801  0.00

(2)
Compound: Li5GaF8
Source: Alexandria
Functional: PBE
Structure: optimized geometry

Properties
As for the density of states at the Fermi level: 0.000 states/eV/f.u. Its energy is -66.550 eV per cell. As for the raw formation energy: -2.7845 eV/atom.

Unit cell a=5.8073 b=5.8073 c=5.8073 alpha=104.50 beta=104.50 gamma=119.96
Element x y z (fractional)
1 Li 0.8583 0.3600 0.9223
2 Li 0.6400 0.5623 0.4983
3 Li 0.4377 0.9360 0.0777
4 Li 0.5000 0.5000 0.0000
5 Li 0.0640 0.1417 0.5017
6 Ga 0.2500 0.7500 0.5000
7 F 0.1400 0.8242 0.2180
8 F 0.1758 0.3937 0.3157
9 F 0.6439 0.8453 0.3099
10 F 0.1547 0.4646 0.7986
11 F 0.6660 0.3561 0.2014
12 F 0.0780 0.8600 0.6843
13 F 0.6063 0.9220 0.7820
14 F 0.5354 0.3340 0.6901

(3)
Compound: Li2GaF5
Source: Alexandria
Functional: PBE
Structure: optimized geometry

Properties
As for the density of states at the Fermi level: 0.000 states/eV/f.u. Its energy is -77.349 eV per cell. As for the raw formation energy: -2.8079 eV/atom.

Unit cell a=3.8440 b=5.3915 c=9.9668 alpha=90.00 beta=90.00 gamma=110.88
Element x y z (fractional)
1 Li 0.8750 0.7500 0.4327
2 Li 0.8750 0.7500 0.0673
3 Li 0.1250 0.2500 0.5673
4 Li 0.1250 0.2500 0.9327
5 Ga 0.8084 0.6168 0.7500
6 Ga 0.1916 0.3832 0.2500
7 F 0.9400 0.8799 0.8830
8 F 0.9400 0.8799 0.6170
9 F 0.3187 0.6373 0.3949
10 F 0.3187 0.6373 0.1051
11 F 0.7227 0.4453 0.2500
12 F 0.2773 0.5547 0.7500
13 F 0.6813 0.3627 0.6051
14 F 0.6813 0.3627 0.8949
15 F 0.0600 0.1201 0.1170
16 F 0.0600 0.1201 0.3830

(4)
Compound: LiGa2F
Source: Alexandria
Functional: PBE
Structure: optimized geometry

Properties
As for the density of states at the Fermi level: 2.226 states/eV/f.u. Its energy is -11.781 eV per cell. The energy above the lowest structure with this stoichiometry is 0.3616 eV per atom. As for the raw formation energy: -0.4854 eV/atom.

Unit cell a=4.5745 b=4.5745 c=4.5745 alpha=60.00 beta=60.00 gamma=60.00
Element x y z (fractional)
1 Li 0.0000 0.0000 0.0000
2 Ga 0.2500 0.2500 0.2500
3 Ga 0.7500 0.7500 0.7500
4 F 0.5000 0.5000 0.5000

(5)
Compound: LiGaF6
Source: Alexandria
Functional: PBE
Structure: optimized geometry

Properties
As for the density of states at the Fermi level: 7.882 states/eV/f.u. Its energy is -31.236 eV per cell. As for the raw formation energy: -1.8834 eV/atom.

Unit cell a=5.5166 b=5.5166 c=5.5166 alpha=60.00 beta=60.00 gamma=60.00
Last column: magnetic moment on the atom in μB.
Element x y z (fractional)
1 Li 0.5000 0.5000 0.5000  -0.01
2 Ga 0.0000 0.0000 0.0000  -0.03
3 F 0.7563 0.7563 0.2437  0.30
4 F 0.7563 0.2437 0.2437  0.30
5 F 0.2437 0.7563 0.7563  0.30
6 F 0.2437 0.2437 0.7563  0.30
7 F 0.2437 0.7563 0.2437  0.30
8 F 0.7563 0.2437 0.7563  0.30

(6)
Compound: LiGaF3
Source: Alexandria
Functional: PBE
Structure: optimized geometry

Properties
As for the density of states at the Fermi level: 1.138 states/eV/f.u. Its energy is -43.703 eV per cell. The energy above the lowest structure with this stoichiometry is 0.0000 eV per atom. As for the raw formation energy: -2.2594 eV/atom.

Unit cell a=5.4888 b=5.4761 c=5.4761 alpha=120.00 beta=90.00 gamma=90.00
Element x y z (fractional)
1 Li 0.0000 0.0000 0.0000
2 Li 0.5000 0.0000 0.0000
3 Ga 0.5000 0.6667 0.3333
4 Ga 0.0000 0.6667 0.3333
5 F 0.7500 0.3252 0.2485
6 F 0.7500 0.9233 0.6748
7 F 0.7500 0.7515 0.0767
8 F 0.2500 0.7515 0.6748
9 F 0.2500 0.3252 0.0767
10 F 0.2500 0.9233 0.2485

Which of these has the highest energy? LiGa2F